Compound: TbDy2YEr6
Source: Alexandria
Functional: PBE-GGA
Structure: relaxed

Cell: 8.709 8.709 9.522 Å, 94.13 94.13 118.15°
Element x y z (fractional)
Tb  0.023  0.977  0.750
Tb  0.977  0.023  0.250
Dy  0.195  0.301  0.544
Dy  0.301  0.195  0.044
Dy  0.699  0.805  0.956
Dy  0.805  0.699  0.456
Y  0.408  0.592  0.250
Y  0.592  0.408  0.750
Er  0.023  0.572  0.683
Er  0.124  0.749  0.056
Er  0.251  0.876  0.444
Er  0.291  0.504  0.880
Er  0.428  0.977  0.817
Er  0.496  0.709  0.620
Er  0.504  0.291  0.380
Er  0.572  0.023  0.183
Er  0.709  0.496  0.120
Er  0.749  0.124  0.556
Er  0.876  0.251  0.944
Er  0.977  0.428  0.317

The value obtained for the energy of formation is 0.1191 eV per atom. The space-group type is C2/c, No. 15. For the density of states at the Fermi level, the calculation gives 28.24 states/eV per cell.